Compound: TmMnAs2O8
Source: Alexandria
Functional: GGA+U
Structure: relaxed

Values from the calculation:
SG = I-4m2, No. 119
total magnetization = 3.96 μB per formula unit
raw total energy = -82.0 eV per cell

The structure in CIF format:
```
data_TmMnAs2O8
_chemical_formula_sum 'Tm1 Mn1 As2 O8'
_cell_length_a 5.828
_cell_length_b 5.828
_cell_length_c 5.828
_cell_angle_alpha 107.16
_cell_angle_beta 107.16
_cell_angle_gamma 114.21
_symmetry_space_group_name_H-M 'P 1'
_symmetry_Int_Tables_number 1
_symmetry_space_group_name_Hall 'P 1'
loop_
_atom_site_label
_atom_site_type_symbol
_atom_site_fract_x
_atom_site_fract_y
_atom_site_fract_z
Tm1 Tm 0.000 0.000 0.000
Mn1 Mn 0.250 0.750 0.500
As1 As 0.500 0.500 0.000
As2 As 0.750 0.250 0.500
O1 O 0.318 0.131 0.814
O2 O 0.318 0.504 0.186
O3 O 0.386 0.070 0.315
O4 O 0.496 0.682 0.814
O5 O 0.755 0.070 0.685
O6 O 0.869 0.682 0.186
O7 O 0.930 0.245 0.315
O8 O 0.930 0.614 0.685
```